(1)
Density functional theory data (PBE-GGA) for Pu5AgRh6 after structural relaxation.

a = 4.6564 Å, b = 6.9016 Å, c = 8.3527 Å
α = 114.40°, β = 106.18°, γ = 90.00°
Last column: nearest neighbours and their distance in Å.
Positions (direct):
1 Rh 0.8318 0.5774 0.6635  7 Pu 2.87-3.15, 1 Ag 3.00
2 Rh 0.8318 0.0861 0.6635  7 Pu 2.87-3.15, 1 Ag 3.00
3 Rh 0.5000 0.7266 0.0000  6 Pu 2.80-2.98, 2 Ag 3.00, 1 Rh 3.13
4 Rh 0.5000 0.2734 0.0000  6 Pu 2.80-2.98, 2 Ag 3.00, 1 Rh 3.13
5 Rh 0.1682 0.9139 0.3365  7 Pu 2.87-3.15, 1 Ag 3.00
6 Rh 0.1682 0.4226 0.3365  7 Pu 2.87-3.15, 1 Ag 3.00
7 Ag 0.0000 0.0000 0.0000  8 Rh 3.00, 4 Pu 3.17
8 Pu 0.6484 0.1484 0.2968  8 Rh 2.86-3.15, 2 Ag 3.17
9 Pu 0.3247 0.3247 0.6495  8 Rh 2.87-2.98
10 Pu 0.0000 0.5000 0.0000  8 Rh 2.80-2.97
11 Pu 0.6753 0.6753 0.3505  8 Rh 2.87-2.98
12 Pu 0.3516 0.8516 0.7032  8 Rh 2.86-3.15, 2 Ag 3.17

Output
For the total energy, the calculation gives -10.2416 eV per atom. As for the volume: 232.72 Å³/cell. For the density, the calculation gives 13.88 Mg/m³.

=====

(2)
Density functional theory data (PBE-GGA) for PrYNiPd after structural relaxation.

a = 4.9996 Å, b = 4.9996 Å, c = 4.9996 Å
α = 60.00°, β = 60.00°, γ = 60.00°
Last column: nearest neighbours and their distance in Å.
Positions (direct):
1 Pr 0.2500 0.2500 0.2500  4 Ni 3.06, 4 Pd 3.06
2 Y 0.7500 0.7500 0.7500  4 Ni 3.06, 4 Pd 3.06
3 Pd 0.5000 0.5000 0.5000  4 Pr 3.06, 4 Y 3.06
4 Ni 0.0000 0.0000 0.0000  4 Y 3.06, 4 Pr 3.06

Output
As for the volume: 88.36 Å³/cell. The polymorph energy (0 for the lowest one) is 0.0737 eV/atom. For the density, the calculation gives 7.42 Mg/m³.

=====

(3)
Density functional theory data (PBE-GGA) for Ga2TcW2 after structural relaxation.

a = 6.6928 Å, b = 6.6928 Å, c = 3.4038 Å
α = 90.00°, β = 90.00°, γ = 90.00°
Last column: nearest neighbours and their distance in Å.
Positions (direct):
1 Ga 0.3668 0.8668 0.0000  1 Ga 2.52, 6 W 2.55-2.64, 2 Tc 2.61
2 Ga 0.8668 0.6332 0.0000  1 Ga 2.52, 6 W 2.55-2.64, 2 Tc 2.61
3 Ga 0.6332 0.1332 0.0000  1 Ga 2.52, 6 W 2.55-2.64, 2 Tc 2.61
4 Ga 0.1332 0.3668 0.0000  1 Ga 2.52, 6 W 2.55-2.64, 2 Tc 2.61
5 Tc 0.0000 0.0000 0.0000  4 Ga 2.61
6 Tc 0.5000 0.5000 0.0000  4 Ga 2.61
7 W 0.1666 0.6666 0.5000  6 Ga 2.55-2.64
8 W 0.6666 0.8334 0.5000  6 Ga 2.55-2.64
9 W 0.8334 0.3334 0.5000  6 Ga 2.55-2.64
10 W 0.3334 0.1666 0.5000  6 Ga 2.55-2.64

Output
As for the volume: 152.47 Å³/cell. The polymorph energy (0 for the lowest one) is 0.0000 eV/atom. For the density, the calculation gives 13.18 Mg/m³.

=====

(4)
Density functional theory data (PBE-GGA) for K2ZrAl after structural relaxation.

a = 3.1868 Å, b = 3.1868 Å, c = 13.1074 Å
α = 90.00°, β = 90.00°, γ = 114.51°
Last column: nearest neighbours and their distance in Å.
Positions (direct):
1 K 0.0000 0.0000 0.9874  6 K 3.19-3.45, 2 Al 3.56
2 K 0.0000 0.0000 0.5126  6 K 3.19-3.45, 2 Al 3.56
3 Al 0.5000 0.5000 0.7500  6 Al 3.19-3.45, 4 K 3.56
4 Zr 0.5000 0.5000 0.2500  6 Zr 3.19-3.45

Output
For the total energy, the calculation gives -2.8999 eV per atom. As for the volume: 121.12 Å³/cell. For the density, the calculation gives 2.69 Mg/m³.

=====

(5)
Density functional theory data (PBE-GGA) for Pr2DyMg2 after structural relaxation.

a = 3.8592 Å, b = 5.5177 Å, c = 14.3599 Å
α = 90.00°, β = 97.75°, γ = 90.00°
Last column: nearest neighbours and their distance in Å.
Positions (direct):
1 Pr 0.0454 0.7500 0.0903  8 Mg 3.32-3.44
2 Pr 0.9546 0.2500 0.9097  8 Mg 3.32-3.44
3 Pr 0.2357 0.7500 0.4731  2 Mg 3.35-3.36, 4 Pr 3.45-3.46, 2 Dy 3.72
4 Pr 0.7643 0.2500 0.5269  2 Mg 3.35-3.36, 4 Pr 3.45-3.46, 2 Dy 3.72
5 Dy 0.8503 0.7500 0.7018  6 Mg 3.31-3.38
6 Dy 0.1497 0.2500 0.2982  6 Mg 3.31-3.38
7 Mg 0.6403 0.7500 0.2801  4 Pr 3.32-3.36, 4 Dy 3.38, 2 Mg 3.68
8 Mg 0.3597 0.2500 0.7199  4 Pr 3.32-3.36, 4 Dy 3.38, 2 Mg 3.68
9 Mg 0.4456 0.7500 0.8907  2 Dy 3.31, 6 Pr 3.38-3.44, 2 Mg 3.68
10 Mg 0.5544 0.2500 0.1093  2 Dy 3.31, 6 Pr 3.38-3.44, 2 Mg 3.68

Output
As for the volume: 302.99 Å³/cell. The polymorph energy (0 for the lowest one) is 0.0000 eV/atom. For the density, the calculation gives 5.40 Mg/m³.

=====

(6)
Density functional theory data (PBE-GGA) for ZrAg3Br2F6 after structural relaxation.

a = 5.1111 Å, b = 6.8286 Å, c = 7.6330 Å
α = 116.57°, β = 90.38°, γ = 89.99°
Last column: nearest neighbours and their distance in Å.
Positions (direct):
1 Zr 0.5000 0.0000 0.0000  6 F 2.05-2.06
2 Ag 0.0000 0.5000 0.0000  4 F 2.49, 2 Br 2.67
3 Ag 0.5000 0.5000 0.5000  2 F 2.53, 2 Br 2.59
4 Ag 0.5000 0.0000 0.5000  2 F 2.53, 2 Br 2.59
5 Br 0.1565 0.6873 0.3746  3 Ag 2.59-2.67
6 Br 0.8435 0.3127 0.6254  3 Ag 2.59-2.67
7 F 0.7323 0.2738 0.1124  1 Zr 2.05
8 F 0.2677 0.7262 0.8876  1 Zr 2.05
9 F 0.6891 0.8676 0.7354  1 Zr 2.06
10 F 0.3109 0.1324 0.2646  1 Zr 2.06
11 F 0.2677 0.1614 0.8875  1 Zr 2.05
12 F 0.7323 0.8386 0.1125  1 Zr 2.05

Output
As for the volume: 238.26 Å³/cell. The value obtained for the uncorrected formation energy is -185.0 kJ per mole of atoms. For the density, the calculation gives 4.80 Mg/m³.

=====

- The highest volume belongs to which entry?
  Pr2DyMg2

=====

Repeat the fifth record exactly.
Density functional theory data (PBE-GGA) for Pr2DyMg2 after structural relaxation.

a = 3.8592 Å, b = 5.5177 Å, c = 14.3599 Å
α = 90.00°, β = 97.75°, γ = 90.00°
Last column: nearest neighbours and their distance in Å.
Positions (direct):
1 Pr 0.0454 0.7500 0.0903  8 Mg 3.32-3.44
2 Pr 0.9546 0.2500 0.9097  8 Mg 3.32-3.44
3 Pr 0.2357 0.7500 0.4731  2 Mg 3.35-3.36, 4 Pr 3.45-3.46, 2 Dy 3.72
4 Pr 0.7643 0.2500 0.5269  2 Mg 3.35-3.36, 4 Pr 3.45-3.46, 2 Dy 3.72
5 Dy 0.8503 0.7500 0.7018  6 Mg 3.31-3.38
6 Dy 0.1497 0.2500 0.2982  6 Mg 3.31-3.38
7 Mg 0.6403 0.7500 0.2801  4 Pr 3.32-3.36, 4 Dy 3.38, 2 Mg 3.68
8 Mg 0.3597 0.2500 0.7199  4 Pr 3.32-3.36, 4 Dy 3.38, 2 Mg 3.68
9 Mg 0.4456 0.7500 0.8907  2 Dy 3.31, 6 Pr 3.38-3.44, 2 Mg 3.68
10 Mg 0.5544 0.2500 0.1093  2 Dy 3.31, 6 Pr 3.38-3.44, 2 Mg 3.68

Output
As for the volume: 302.99 Å³/cell. The polymorph energy (0 for the lowest one) is 0.0000 eV/atom. For the density, the calculation gives 5.40 Mg/m³.

=====

- Which formula does entry 6 have?
  ZrAg3Br2F6